TaIn2Cu: optimized geometry, PBE.

```
TaIn2Cu
1.0
0.000 3.379 3.379
3.379 0.000 3.379
3.379 3.379 0.000
Ta In Cu
1 2 1
Cartesian
0.000 0.000 0.000
1.689 1.689 1.689
5.068 5.068 5.068
3.379 3.379 3.379
```

- distance to the lowest polymorph of the same formula (meV per atom) = 346
- formation energy from the elements (eV per formula unit) = 2.14
- space group = Fm-3m, No. 225
- calculated total energy (eV per atom) = -4.821